[1]
The following is a DFT calculation (PBE) of a relaxed structure of LaDyNi.

Results
- Excess energy over the best structure of this formula in the dataset: 0.0 meV per atom
- ΔH_f (0 K): -0.27 eV per atom
- D(E_F): 1.089 states/eV per atom
- Calculated volume: 28.9 Å³ per atom
- Crystal system: triclinic

Lattice parameters (Å, degrees): 3.8972 6.5193 7.6055 114.98 82.88 89.87
Closest atoms and distances in Å follow each position.
Fractional coordinates of all 6 atoms:
La 0.7775 0.4904 0.0804  2 Ni 2.72
La 0.0383 0.7242 0.5570  2 Ni 2.72
Dy 0.3906 0.2307 0.5696  4 Ni 2.75-2.98
Dy 0.4251 0.9838 0.0678  4 Ni 2.75-2.98
Ni 0.9081 0.2930 0.3186  1 Ni 2.42
Ni 0.9076 0.9216 0.3187  1 Ni 2.42

***

[2]
The following is a DFT calculation (PBE) of a relaxed structure of Ba4NaAs.

Results
- ΔH_f (0 K): -0.39 eV per atom
- D(E_F): 1.092 states/eV per atom
- Calculated volume: 50.1 Å³ per atom
- Crystal system: monoclinic

Lattice parameters (Å, degrees): 8.1326 9.0154 9.0154 109.58 98.67 98.67
Closest atoms and distances in Å follow each position.
Fractional coordinates of all 12 atoms:
Ba 0.9079 0.6507 0.8182  2 As 3.53-3.61, 1 Ba 3.81, 1 Na 3.94
Ba 0.0441 0.9371 0.2575  2 As 3.25-3.28
Ba 0.5921 0.1818 0.3493  2 As 3.53-3.61, 1 Ba 3.81, 1 Na 3.94
Ba 0.4559 0.7425 0.0629  2 As 3.25-3.28
Ba 0.5441 0.2575 0.9371  2 As 3.25-3.28
Ba 0.4079 0.8182 0.6507  2 As 3.53-3.61, 1 Ba 3.81, 1 Na 3.94
Ba 0.9559 0.0629 0.7425  2 As 3.25-3.28
Ba 0.0921 0.3493 0.1818  2 As 3.53-3.61, 1 Ba 3.81, 1 Na 3.94
Na 0.7500 0.6266 0.3734  8 Ba 3.92-4.20
Na 0.2500 0.3734 0.6266  8 Ba 3.92-4.20
As 0.2500 0.0042 0.9958  8 Ba 3.25-3.61
As 0.7500 0.9958 0.0042  8 Ba 3.25-3.61

***

[3]
The following is a DFT calculation (PBE) of a relaxed structure of DySiPd.

Results
- Energy relative to the elements, uncorrected: -1.00 eV/atom
- D(E_F): 0.368 states/eV per atom
- Calculated volume: 18.9 Å³ per atom
- Crystal system: orthorhombic

Lattice parameters (Å, degrees): 4.3188 7.4954 11.3549 109.27 100.96 90.00
Closest atoms and distances in Å follow each position.
Fractional coordinates of all 18 atoms:
Dy 0.0000 0.5392 0.0000  6 Si 3.08-3.16, 6 Pd 3.09-3.10
Dy 0.6663 0.2071 0.3327  6 Pd 2.91-3.19, 6 Si 2.99-3.25
Dy 0.3337 0.8744 0.6673  6 Pd 2.91-3.19, 6 Si 2.99-3.25
Dy 0.5000 0.9463 0.0000  6 Si 2.96-2.98, 6 Pd 3.20-3.22
Dy 0.8325 0.2853 0.6651  6 Pd 3.00-3.11, 6 Si 3.03-3.21
Dy 0.1675 0.6202 0.3349  6 Pd 3.00-3.11, 6 Si 3.03-3.21
Si 0.9385 0.0925 0.8770  3 Pd 2.52-2.61, 1 Si 2.58
Si 0.0615 0.2155 0.1230  3 Pd 2.52-2.61, 1 Si 2.58
Si 0.7665 0.6053 0.5331  4 Pd 2.52-2.69
Si 0.2335 0.0722 0.4669  4 Pd 2.52-2.69
Si 0.5964 0.7509 0.1927  4 Pd 2.53-2.83
Si 0.4036 0.5582 0.8073  4 Pd 2.53-2.83
Pd 0.8947 0.7228 0.7893  4 Si 2.53-2.69
Pd 0.1053 0.9335 0.2107  4 Si 2.53-2.69
Pd 0.7311 0.8979 0.4622  3 Si 2.52-2.57
Pd 0.2689 0.4357 0.5378  3 Si 2.52-2.57
Pd 0.5715 0.3953 0.1430  3 Si 2.52-2.53
Pd 0.4285 0.2522 0.8570  3 Si 2.52-2.53

***

[4]
The following is a DFT calculation (PBE) of a relaxed structure of NpGaNi4Ge2.

Results
- ΔH_f (0 K): -0.24 eV per atom
- D(E_F): 1.729 states/eV per atom
- Calculated volume: 14.6 Å³ per atom
- Crystal system: trigonal

Lattice parameters (Å, degrees): 4.0504 4.0504 8.5664 76.33 76.33 60.00
Closest atoms and distances in Å follow each position.
Fractional coordinates of all 8 atoms:
Np 0.0000 0.0000 0.0000  6 Ni 2.93, 6 Ge 3.13
Ga 0.5000 0.5000 0.5000  8 Ni 2.36-2.47
Ni 0.4045 0.4045 0.7866  3 Ge 2.36, 1 Ga 2.36
Ni 0.8651 0.8651 0.4048  3 Ga 2.47, 3 Ge 2.66
Ni 0.1349 0.1349 0.5952  3 Ga 2.47, 3 Ge 2.66
Ni 0.5955 0.5955 0.2134  3 Ge 2.36, 1 Ga 2.36
Ge 0.7507 0.7507 0.7480  3 Ni 2.36
Ge 0.2493 0.2493 0.2520  3 Ni 2.36

***

[5]
The following is a DFT calculation (PBE) of a relaxed structure of HfScAu.

Results
- Excess energy over the best structure of this formula in the dataset: 808.9 meV per atom
- ΔH_f (0 K): 0.33 eV per atom
- D(E_F): 1.031 states/eV per atom
- Calculated volume: 22.8 Å³ per atom
- Crystal system: cubic

Lattice parameters (Å, degrees): 4.5920 4.5920 4.5920 60.00 60.00 60.00
Closest atoms and distances in Å follow each position.
Fractional coordinates of all 3 atoms:
Sc 0.2500 0.2500 0.2500  4 Hf 2.81
Hf 0.5000 0.5000 0.5000  4 Sc 2.81, 4 Au 2.81
Au 0.7500 0.7500 0.7500  4 Hf 2.81

***

[6]
The following is a DFT calculation (PBE) of a relaxed structure of MnTl2P2.

Results
- ΔH_f (0 K): 0.06 eV per atom
- D(E_F): 0.645 states/eV per atom
- Calculated volume: 21.5 Å³ per atom
- Crystal system: tetragonal

Lattice parameters (Å, degrees): 6.0758 6.0758 5.8338 90.00 90.00 90.00
Closest atoms and distances in Å follow each position.
Fractional coordinates of all 10 atoms:
P 0.3693 0.8693 0.0000  1 P 2.25, 2 Mn 2.38
P 0.8693 0.6307 0.0000  1 P 2.25, 2 Mn 2.38
P 0.6307 0.1307 0.0000  1 P 2.25, 2 Mn 2.38
P 0.1307 0.3693 0.0000  1 P 2.25, 2 Mn 2.38
Tl 0.1914 0.6914 0.5000  5 Tl 3.12-3.29, 2 P 3.29
Tl 0.6914 0.8086 0.5000  5 Tl 3.12-3.29, 2 P 3.29
Tl 0.8086 0.3086 0.5000  5 Tl 3.12-3.29, 2 P 3.29
Tl 0.3086 0.1914 0.5000  5 Tl 3.12-3.29, 2 P 3.29
Mn 0.0000 0.0000 0.0000  4 P 2.38
Mn 0.5000 0.5000 0.0000  4 P 2.38

***

[7]
The following is a DFT calculation (PBE) of a relaxed structure of NaAlS2N.

Results
- Excess energy over the best structure of this formula in the dataset: 1335.1 meV per atom
- Energy relative to the elements, uncorrected: 1.29 eV/atom
- D(E_F): 0.532 states/eV per atom
- Calculated volume: 21.1 Å³ per atom
- Crystal system: tetragonal

Lattice parameters (Å, degrees): 5.0123 5.0123 4.1950 90.00 90.00 90.00
Closest atoms and distances in Å follow each position.
Fractional coordinates of all 5 atoms:
Na 0.0000 0.0000 0.0000  2 N 2.10
S 0.0000 0.5000 0.0000  2 Na 2.51
S 0.5000 0.0000 0.0000  2 Na 2.51
Al 0.5000 0.5000 0.5000  8 S 3.27, 4 N 3.54
N 0.0000 0.0000 0.5000  2 Na 2.10

***

[8]
The following is a DFT calculation (PBE) of a relaxed structure of RbHg2Pt.

Results
- Excess energy over the best structure of this formula in the dataset: 89.8 meV per atom
- ΔH_f (0 K): -0.06 eV per atom
- D(E_F): 0.262 states/eV per atom
- Calculated volume: 38.3 Å³ per atom
- Crystal system: tetragonal

Lattice parameters (Å, degrees): 5.8586 5.8586 9.8317 72.67 72.67 90.00
Closest atoms and distances in Å follow each position.
Fractional coordinates of all 8 atoms:
Rb 0.5000 0.5000 0.0000  8 Hg 3.76-4.17, 4 Pt 4.14
Rb 0.2500 0.7500 0.5000  8 Hg 3.76-4.17, 4 Pt 4.14
Hg 0.8277 0.1250 0.2500  2 Pt 2.68, 2 Hg 2.98
Hg 0.9223 0.6250 0.2500  2 Pt 2.68, 2 Hg 2.98
Hg 0.3750 0.1723 0.7500  2 Pt 2.68, 2 Hg 2.98
Hg 0.8750 0.0777 0.7500  2 Pt 2.68, 2 Hg 2.98
Pt 0.0000 0.0000 0.0000  4 Hg 2.68
Pt 0.7500 0.2500 0.5000  4 Hg 2.68